SbOs2PbS: PBEsol geometry, meta-GGA SCAN.

Theoretical density: 9.0 Mg/m³
Symmetry: No. 123
Uncorrected formation energy: 2.10 eV/atom

CIF file:
```
data_SbOs2PbS
_cell_length_a 4.810
_cell_length_b 4.810
_cell_length_c 5.899
_cell_angle_alpha 90.00
_cell_angle_beta 90.00
_cell_angle_gamma 90.00
_symmetry_space_group_name_H-M 'P 1'
_symmetry_Int_Tables_number 1
loop_
_symmetry_equiv_pos_as_xyz
'x,y,z'
loop_
_atom_site_label
_atom_site_type_symbol
_atom_site_fract_x
_atom_site_fract_y
_atom_site_fract_z
_atom_site_occupancy
Pb1 Pb 0.000 0.000 0.500 1
Sb1 Sb 0.000 0.000 0.000 1
Os1 Os 0.000 0.500 0.000 1
Os2 Os 0.500 0.000 0.000 1
S1 S 0.500 0.500 0.500 1
```



SbOs2Pb: PBEsol geometry, meta-GGA SCAN.

Energy above the lowest structure with this stoichiometry: 0.00 eV per formula unit
Theoretical density: 13.6 Mg/m³
Symmetry: No. 6
Uncorrected formation energy: 0.60 eV/atom

CIF file:
```
data_SbOs2Pb
_cell_length_a 2.925
_cell_length_b 4.172
_cell_length_c 7.080
_cell_angle_alpha 90.00
_cell_angle_beta 91.60
_cell_angle_gamma 90.00
_symmetry_space_group_name_H-M 'P 1'
_symmetry_Int_Tables_number 1
loop_
_symmetry_equiv_pos_as_xyz
'x,y,z'
loop_
_atom_site_label
_atom_site_type_symbol
_atom_site_fract_x
_atom_site_fract_y
_atom_site_fract_z
_atom_site_occupancy
Sb1 Sb 0.112 0.500 0.825 1
Pb1 Pb 0.638 0.000 0.440 1
Os1 Os 0.120 0.000 0.068 1
Os2 Os 0.630 0.500 0.167 1
```



SbOs2Pb: PBEsol geometry, meta-GGA SCAN.

Energy above the lowest structure with this stoichiometry: 1.21 eV per formula unit
Theoretical density: 16.3 Mg/m³
Symmetry: No. 166
Uncorrected formation energy: 0.90 eV/atom

CIF file:
```
data_SbOs2Pb
_cell_length_a 3.125
_cell_length_b 3.125
_cell_length_c 8.715
_cell_angle_alpha 79.67
_cell_angle_beta 79.67
_cell_angle_gamma 60.00
_symmetry_space_group_name_H-M 'P 1'
_symmetry_Int_Tables_number 1
loop_
_symmetry_equiv_pos_as_xyz
'x,y,z'
loop_
_atom_site_label
_atom_site_type_symbol
_atom_site_fract_x
_atom_site_fract_y
_atom_site_fract_z
_atom_site_occupancy
Sb1 Sb 0.000 0.000 0.000 1
Os1 Os 0.744 0.744 0.767 1
Os2 Os 0.256 0.256 0.233 1
Pb1 Pb 0.500 0.500 0.500 1
```



SbOs2Pb: PBEsol geometry, meta-GGA SCAN.

Energy above the lowest structure with this stoichiometry: 2.66 eV per formula unit
Theoretical density: 15.8 Mg/m³
Symmetry: No. 47
Uncorrected formation energy: 1.26 eV/atom

CIF file:
```
data_SbOs2Pb
_cell_length_a 3.197
_cell_length_b 4.350
_cell_length_c 5.348
_cell_angle_alpha 90.00
_cell_angle_beta 90.00
_cell_angle_gamma 90.00
_symmetry_space_group_name_H-M 'P 1'
_symmetry_Int_Tables_number 1
loop_
_symmetry_equiv_pos_as_xyz
'x,y,z'
loop_
_atom_site_label
_atom_site_type_symbol
_atom_site_fract_x
_atom_site_fract_y
_atom_site_fract_z
_atom_site_occupancy
Os1 Os 0.500 0.000 0.500 1
Os2 Os 0.000 0.000 0.000 1
Sb1 Sb 0.000 0.500 0.500 1
Pb1 Pb 0.500 0.500 0.000 1
```



ScOsPb2: PBEsol geometry, meta-GGA SCAN.

Energy relative to the elements: 0.262 eV/atom
Energy above the lowest structure with this stoichiometry: 0.13 eV per formula unit
Theoretical density: 12.6 Mg/m³
Symmetry: No. 71

CIF file:
```
data_ScOsPb2
_cell_length_a 3.348
_cell_length_b 5.244
_cell_length_c 5.769
_cell_angle_alpha 117.04
_cell_angle_beta 106.87
_cell_angle_gamma 90.00
_symmetry_space_group_name_H-M 'P 1'
_symmetry_Int_Tables_number 1
loop_
_symmetry_equiv_pos_as_xyz
'x,y,z'
loop_
_atom_site_label
_atom_site_type_symbol
_atom_site_fract_x
_atom_site_fract_y
_atom_site_fract_z
_atom_site_occupancy
Sc1 Sc 0.500 0.000 0.000 1
Pb1 Pb 0.273 0.273 0.546 1
Pb2 Pb 0.727 0.727 0.454 1
Os1 Os 0.000 0.500 0.000 1
```



ScOsPb2: PBEsol geometry, meta-GGA SCAN.

Energy relative to the elements: 0.228 eV/atom
Energy above the lowest structure with this stoichiometry: 0.00 eV per formula unit
Theoretical density: 13.0 Mg/m³
Symmetry: No. 12

CIF file:
```
data_ScOsPb2
_cell_length_a 3.386
_cell_length_b 4.856
_cell_length_c 5.500
_cell_angle_alpha 101.06
_cell_angle_beta 90.00
_cell_angle_gamma 110.40
_symmetry_space_group_name_H-M 'P 1'
_symmetry_Int_Tables_number 1
loop_
_symmetry_equiv_pos_as_xyz
'x,y,z'
loop_
_atom_site_label
_atom_site_type_symbol
_atom_site_fract_x
_atom_site_fract_y
_atom_site_fract_z
_atom_site_occupancy
Sc1 Sc 0.000 0.000 0.500 1
Os1 Os 0.500 0.000 0.000 1
Pb1 Pb 0.239 0.479 0.230 1
Pb2 Pb 0.761 0.521 0.770 1
```



Os2PbSe: PBEsol geometry, meta-GGA SCAN.

Energy above the lowest structure with this stoichiometry: 0.77 eV per formula unit
Theoretical density: 16.7 Mg/m³
Symmetry: No. 123
Uncorrected formation energy: 1.07 eV/atom

CIF file:
```
data_Os2PbSe
_cell_length_a 3.157
_cell_length_b 3.157
_cell_length_c 6.658
_cell_angle_alpha 90.00
_cell_angle_beta 90.00
_cell_angle_gamma 90.00
_symmetry_space_group_name_H-M 'P 1'
_symmetry_Int_Tables_number 1
loop_
_symmetry_equiv_pos_as_xyz
'x,y,z'
loop_
_atom_site_label
_atom_site_type_symbol
_atom_site_fract_x
_atom_site_fract_y
_atom_site_fract_z
_atom_site_occupancy
Os1 Os 0.000 0.000 0.718 1
Se1 Se 0.500 0.500 0.500 1
Os2 Os 0.000 0.000 0.282 1
Pb1 Pb 0.500 0.500 0.000 1
```



Os2PbSe: PBEsol geometry, meta-GGA SCAN.

Energy above the lowest structure with this stoichiometry: 1.55 eV per formula unit
Theoretical density: 16.0 Mg/m³
Symmetry: No. 47
Uncorrected formation energy: 1.26 eV/atom

CIF file:
```
data_Os2PbSe
_cell_length_a 2.973
_cell_length_b 4.526
_cell_length_c 5.130
_cell_angle_alpha 90.00
_cell_angle_beta 90.00
_cell_angle_gamma 90.00
_symmetry_space_group_name_H-M 'P 1'
_symmetry_Int_Tables_number 1
loop_
_symmetry_equiv_pos_as_xyz
'x,y,z'
loop_
_atom_site_label
_atom_site_type_symbol
_atom_site_fract_x
_atom_site_fract_y
_atom_site_fract_z
_atom_site_occupancy
Pb1 Pb 0.500 0.500 0.000 1
Se1 Se 0.000 0.500 0.500 1
Os1 Os 0.000 0.000 0.000 1
Os2 Os 0.500 0.000 0.500 1
```